Entry from the Alexandria database: crystalline KPm2Te4Pb at its relaxed geometry (GGA-PBE).

Calculated values
Volume = 594.1 Å³/cell
Total magnetic moment = 0.0 μB per cell
Uncorrected formation energy = -0.997 eV per atom
Crystal system = orthorhombic

abc: 8.1550 8.1550 16.6208
angles: 90.00 90.00 147.49
Fractional positions:
K: 0.1440 0.8560 0.7500
K: 0.8560 0.1440 0.2500
Pm: 0.3751 0.6249 0.5627
Pm: 0.3751 0.6249 0.9373
Pm: 0.6249 0.3751 0.0627
Pm: 0.6249 0.3751 0.4373
Te: 0.0000 0.0000 0.0000
Te: 0.0000 0.0000 0.5000
Te: 0.2699 0.7301 0.0992
Te: 0.2699 0.7301 0.4008
Te: 0.4794 0.5206 0.7500
Te: 0.5206 0.4794 0.2500
Te: 0.7301 0.2699 0.5992
Te: 0.7301 0.2699 0.9008
Pb: 0.1433 0.8567 0.2500
Pb: 0.8567 0.1433 0.7500